# Ni3Br

Ni3Br after structural relaxation (GGA-PBE, Alexandria). Values from VASP.

Results
The value obtained for the energy above the most stable polymorph in this dataset is 0.287 eV per atom. For the uncorrected formation energy, the calculation gives 0.59 eV per atom.

Quantum ESPRESSO input file:
```
&SYSTEM
  ibrav = 0, nat = 16, ntyp = 2
/
ATOMIC_SPECIES
Ni 58.69 Ni.upf
Br 79.90 Br.upf
CELL_PARAMETERS angstrom
6.150 0.000 0.000
-3.075 5.326 0.000
0.000 0.000 6.968
ATOMIC_POSITIONS crystal
Ni 0.500 0.000 0.000
Ni 0.500 0.000 0.500
Ni 0.000 0.500 0.000
Ni 0.500 0.500 0.000
Ni 0.500 0.500 0.500
Ni 0.000 0.500 0.500
Ni 0.804 0.609 0.250
Ni 0.196 0.391 0.750
Ni 0.391 0.196 0.250
Ni 0.804 0.196 0.250
Ni 0.196 0.804 0.750
Ni 0.609 0.804 0.750
Br 0.000 0.000 0.000
Br 0.000 0.000 0.500
Br 0.333 0.667 0.250
Br 0.667 0.333 0.750
```



# Sm6Hg5Pd

Sm6Hg5Pd after structural relaxation (GGA-PBE, Alexandria). Values from VASP.

Results
As for the formation energy: -0.520 eV/atom.

Quantum ESPRESSO input file:
```
&SYSTEM
  ibrav = 0, nat = 12, ntyp = 3
/
ATOMIC_SPECIES
Pd 106.42 Pd.upf
Hg 200.59 Hg.upf
Sm 150.36 Sm.upf
CELL_PARAMETERS angstrom
5.232 -0.334 0.851
-0.021 6.966 2.857
1.215 0.346 9.089
ATOMIC_POSITIONS crystal
Pd 0.000 0.000 0.000
Hg 0.678 0.178 0.645
Hg 0.333 0.333 0.334
Hg 0.000 0.500 0.000
Hg 0.667 0.667 0.666
Hg 0.322 0.822 0.355
Sm 0.839 0.599 0.321
Sm 0.839 0.081 0.321
Sm 0.500 0.764 0.000
Sm 0.500 0.236 0.000
Sm 0.161 0.919 0.679
Sm 0.161 0.401 0.679
```



# LiCoSb2

LiCoSb2 after structural relaxation (GGA-PBE, Alexandria). Values from VASP.

Results
The value obtained for the energy above the most stable polymorph in this dataset is 0.013 eV per atom. For the uncorrected formation energy, the calculation gives -0.14 eV per atom.

Quantum ESPRESSO input file:
```
&SYSTEM
  ibrav = 0, nat = 4, ntyp = 3
/
ATOMIC_SPECIES
Co 58.93 Co.upf
Li 6.94 Li.upf
Sb 121.76 Sb.upf
CELL_PARAMETERS angstrom
-1.354 -3.786 -1.140
0.362 -3.562 2.156
-5.340 -0.471 2.814
ATOMIC_POSITIONS crystal
Co 0.750 0.750 0.750
Li 0.250 0.250 0.250
Sb 0.021 0.021 0.943
Sb 0.479 0.479 0.557
```



# NaCrSe3

NaCrSe3 after structural relaxation (GGA-PBE, Alexandria). Values from VASP.

Results
The value obtained for the energy above the most stable polymorph in this dataset is 0.328 eV per atom. For the uncorrected formation energy, the calculation gives -0.17 eV per atom.

Quantum ESPRESSO input file:
```
&SYSTEM
  ibrav = 0, nat = 5, ntyp = 3
/
ATOMIC_SPECIES
Cr 52.00 Cr.upf
Se 78.96 Se.upf
Na 22.99 Na.upf
CELL_PARAMETERS angstrom
-2.425 1.092 4.043
-2.787 -3.908 -0.616
3.126 -2.637 2.587
ATOMIC_POSITIONS crystal
Cr 0.000 0.000 0.000
Se 0.000 0.500 0.000
Se 0.000 0.000 0.500
Se 0.500 0.000 0.000
Na 0.500 0.500 0.500
```



Short version: size of the total moment = 3.38; 0.00; 0.00; 0.00 Bohr magnetons per cell, in the order given.